## TbNd3P4 (PBE-GGA)

Data for TbNd3P4 after structural relaxation.

## Properties
Formation energy (meV per atom): -1551
Offset from the most stable computed form (eV/atom): 0.000
Final energy (eV/atom): -6.623
DOS(E_F) (states/eV per atom): 0.08

a b c (Å): 7.1576 7.1576 4.1363
angles (deg): 90.00 90.00 109.45
Sites, in units of the cell vectors:
Tb 0.0000 0.0000 0.0000
Nd 0.0000 0.5000 0.5000
Nd 0.5000 0.0000 0.5000
Nd 0.5000 0.5000 0.0000
P 0.2445 0.2445 0.5000
P 0.2472 0.7528 0.0000
P 0.7528 0.2472 0.0000
P 0.7555 0.7555 0.5000